Record 1
A plane-wave DFT calculation with PBE-GGA was carried out for crystalline KAgTeWSe2 at its relaxed geometry.

Output
- Crystal system: orthorhombic
- Total magnetic moment: 4.0 μB per cell
- Electronic total energy: -4.712 eV/atom

Cell and atoms, written as POSCAR:
```
KAgTeWSe2
1.0
1.9719 -7.8426 0.0000
1.9719 7.8426 0.0000
0.0000 0.0000 10.5602
K Ag Te W Se
2 2 2 2 4
direct
0.2291 0.7709 0.7500
0.7709 0.2291 0.2500
0.4561 0.5439 0.2500
0.5439 0.4561 0.7500
0.0811 0.9189 0.2500
0.9189 0.0811 0.7500
0.0000 0.0000 0.0000
0.0000 0.0000 0.5000
0.3892 0.6108 0.0297
0.3892 0.6108 0.4703
0.6108 0.3892 0.5297
0.6108 0.3892 0.9703
```


Record 2
A plane-wave DFT calculation with PBE-GGA was carried out for crystalline CsPdAu3Se4 at its relaxed geometry.

Output
- Crystal system: cubic
- Electronic total energy: -3.352 eV/atom

Cell and atoms, written as POSCAR:
```
CsPdAu3Se4
1.0
6.5416 0.0000 0.0000
0.0000 6.5416 0.0000
0.0000 0.0000 6.5416
Cs Pd Au Se
1 1 3 4
direct
0.0000 0.0000 0.0000
0.5000 0.5000 0.5000
0.0000 0.5000 0.5000
0.5000 0.0000 0.5000
0.5000 0.5000 0.0000
0.2857 0.2857 0.2857
0.2857 0.7143 0.7143
0.7143 0.2857 0.7143
0.7143 0.7143 0.2857
```


Record 3
A plane-wave DFT calculation with PBE-GGA was carried out for crystalline ZnPdSeO at its relaxed geometry.

Output
- Crystal system: tetragonal
- Energy above the most stable polymorph in this dataset: 347.5 meV per atom
- Electronic total energy: -4.027 eV/atom

Cell and atoms, written as POSCAR:
```
ZnPdSeO
1.0
4.3128 0.0000 0.0000
0.0000 4.3128 0.0000
0.0000 0.0000 6.8836
Zn Pd Se O
2 2 2 2
direct
0.2500 0.2500 0.2175
0.7500 0.7500 0.7825
0.2500 0.7500 0.0000
0.7500 0.2500 0.0000
0.2500 0.2500 0.7425
0.7500 0.7500 0.2575
0.2500 0.2500 0.4899
0.7500 0.7500 0.5101
```


Record 4
A plane-wave DFT calculation with PBE-GGA was carried out for crystalline MgZnCoNi at its relaxed geometry.

Output
- Crystal system: cubic
- Energy above the most stable polymorph in this dataset: 88.9 meV per atom
- Total magnetic moment: 1.1 μB per cell
- Electronic total energy: -3.844 eV/atom

Cell and atoms, written as POSCAR:
```
MgZnCoNi
1.0
0.0000 2.9444 2.9444
2.9444 0.0000 2.9444
2.9444 2.9444 0.0000
Mg Zn Co Ni
1 1 1 1
direct
0.0000 0.0000 0.0000
0.2500 0.2500 0.2500
0.5000 0.5000 0.5000
0.7500 0.7500 0.7500
```


Record 5
A plane-wave DFT calculation with PBE-GGA was carried out for crystalline CsPaW at its relaxed geometry.

Output
- Crystal system: cubic
- Energy above the most stable polymorph in this dataset: 0.0 meV per atom
- Total magnetic moment: 0.0 μB per cell
- Electronic total energy: -5.775 eV/atom

Cell and atoms, written as POSCAR:
```
CsPaW
1.0
0.0000 3.5215 3.5215
3.5215 0.0000 3.5215
3.5215 3.5215 0.0000
Cs Pa W
1 1 1
direct
0.0000 0.0000 0.0000
0.5000 0.5000 0.5000
0.7500 0.7500 0.7500
```


Record 6
A plane-wave DFT calculation with PBE-GGA was carried out for crystalline CoSiIrPt at its relaxed geometry.

Output
- Crystal system: cubic
- Energy above the most stable polymorph in this dataset: 0.0 meV per atom
- Total magnetic moment: 1.7 μB per cell
- Electronic total energy: -6.900 eV/atom

Cell and atoms, written as POSCAR:
```
CoSiIrPt
1.0
0.0000 3.0151 3.0151
3.0151 0.0000 3.0151
3.0151 3.0151 0.0000
Co Si Ir Pt
1 1 1 1
direct
0.0000 0.0000 0.0000
0.7500 0.7500 0.7500
0.5000 0.5000 0.5000
0.2500 0.2500 0.2500
```


Record 7
A plane-wave DFT calculation with PBE-GGA was carried out for crystalline FeMoP at its relaxed geometry.

Output
- Crystal system: orthorhombic
- Total magnetic moment: 0.1 μB per cell
- Electronic total energy: -8.785 eV/atom

Cell and atoms, written as POSCAR:
```
FeMoP
1.0
5.8911 0.0000 0.0000
0.0000 3.6755 0.0000
0.0000 0.0000 6.7186
Fe Mo P
4 4 4
direct
0.1397 0.2500 0.0627
0.3603 0.7500 0.5627
0.6397 0.2500 0.4373
0.8603 0.7500 0.9373
0.0273 0.2500 0.6734
0.4727 0.7500 0.1734
0.5273 0.2500 0.8266
0.9727 0.7500 0.3266
0.2308 0.7500 0.8797
0.2692 0.2500 0.3797
0.7308 0.7500 0.6203
0.7692 0.2500 0.1203
```


Record 8
A plane-wave DFT calculation with PBE-GGA was carried out for crystalline TmAlZnNi at its relaxed geometry.

Output
- Crystal system: orthorhombic
- Energy above the most stable polymorph in this dataset: 6.5 meV per atom
- Total magnetic moment: 0.0 μB per cell
- Electronic total energy: -4.295 eV/atom

Cell and atoms, written as POSCAR:
```
TmAlZnNi
1.0
2.0306 -4.7474 0.0000
2.0306 4.7474 0.0000
0.0000 0.0000 7.0219
Tm Al Zn Ni
2 2 2 2
direct
0.0640 0.9360 0.5000
0.9360 0.0640 0.0000
0.3470 0.6530 0.3021
0.6530 0.3470 0.8021
0.3567 0.6433 0.6908
0.6433 0.3567 0.1908
0.2196 0.7804 0.9923
0.7804 0.2196 0.4923
```